# NdBPt

Crystalline NdBPt at its relaxed geometry (GGA-PBE, Alexandria via LeMat-Bulk).

Cell and atoms, written as POSCAR:
```
NdBPt
1.0
10.807 0.000 0.000
0.000 3.542 0.000
0.000 0.000 5.766
Nd B Pt
4 4 4
direct
0.070 0.250 0.236
0.430 0.750 0.736
0.570 0.250 0.264
0.930 0.750 0.764
0.177 0.750 0.929
0.323 0.250 0.429
0.677 0.750 0.571
0.823 0.250 0.071
0.185 0.250 0.723
0.315 0.750 0.223
0.685 0.250 0.777
0.815 0.750 0.277
```

=====

# TiV

Crystalline TiV at its relaxed geometry (GGA-PBE, Alexandria via LeMat-Bulk).

Cell and atoms, written as POSCAR:
```
TiV
1.0
0.000 2.545 2.545
2.545 0.000 2.545
2.545 2.545 0.000
Ti V
1 1
direct
0.000 0.000 0.000
0.500 0.500 0.500
```

=====

# Ce2TmPaAs5

Crystalline Ce2TmPaAs5 at its relaxed geometry (GGA-PBE, Alexandria via LeMat-Bulk).

Cell and atoms, written as POSCAR:
```
Ce2TmPaAs5
1.0
5.104 0.000 0.000
0.000 5.104 0.000
0.000 0.000 10.808
Ce Tm Pa As
2 1 1 5
direct
0.000 0.000 0.222
0.000 0.000 0.778
0.500 0.500 0.500
0.500 0.500 0.000
0.000 0.000 0.500
0.000 0.500 0.000
0.500 0.000 0.000
0.500 0.500 0.255
0.500 0.500 0.745
```

=====

Which total magnetic moment belongs to each record? In order, 0.00; 0.50; 1.50 μB per formula unit.
Which ΔE_f belongs to each record? In order, -0.62; 0.89; -0.58 eV/atom.